Compound: SmTi2Mn
Source: the Alexandria database
Functional: PBE-GGA
Structure: relaxed

## Properties
Magnetic moment (μB per atom): 0.000
Energy of formation from the pure elements (meV/atom): 38

Cell: 3.083 3.083 7.813 Å, 90.00 90.00 90.00°
Space group P4/mmm (No. 123)
Asymmetric unit:
Sm 0.000 0.000 0.000
Ti 0.500 0.500 0.324
Mn 0.000 0.000 0.500

***

Compound: Pr5Ga5Cu2
Source: the Alexandria database
Functional: PBE-GGA
Structure: relaxed

## Properties
Magnetic moment (μB per atom): 0.000
Energy of formation from the pure elements (meV/atom): -451

Cell: 15.601 4.248 11.502 Å, 90.00 129.65 90.00°
Space group C2/m (No. 12)
Asymmetric unit:
Pr 0.000 0.000 0.000
Pr 0.128 0.500 0.815
Pr 0.205 0.500 0.593
Ga 0.000 0.000 0.500
Ga 0.065 0.000 0.336
Ga 0.193 0.500 0.132
Cu 0.098 0.500 0.249

***

Compound: NaUP2N6
Source: the Alexandria database
Functional: PBE-GGA
Structure: relaxed

## Properties
Magnetic moment (μB per atom): 0.000
E_form (uncorrected) (eV per atom): -0.475

Cell: 10.520 10.027 5.286 Å, 90.00 108.06 90.00°
Space group C2/c (No. 15)
Asymmetric unit:
Na 0.000 0.085 0.250
U 0.000 0.281 0.750
P 0.213 0.421 0.165
N 0.108 0.294 0.132
N 0.133 0.123 0.710
N 0.170 0.462 0.843

***

Compound: Cd2NiW2
Source: the Alexandria database
Functional: PBE-GGA
Structure: relaxed

## Properties
Magnetic moment (μB per atom): 0.000
Distance to the lowest polymorph of the same formula (eV per atom): 0.000
Energy of formation from the pure elements (meV/atom): 885

Cell: 3.565 3.565 15.132 Å, 90.00 90.00 90.00°
Space group I4/mmm (No. 139)
Asymmetric unit:
Cd 0.000 0.000 0.091
Ni 0.000 0.000 0.500
W 0.000 0.500 0.250

***

Compound: DyY4Tm
Source: the Alexandria database
Functional: PBE-GGA
Structure: relaxed

## Properties
Magnetic moment (μB per atom): 0.000
Distance to the lowest polymorph of the same formula (eV per atom): 0.046
Energy of formation from the pure elements (meV/atom): 72

Cell: 6.989 9.692 5.617 Å, 90.00 90.04 90.00°
Space group P2_1/c (No. 14)
Asymmetric unit:
Dy 0.000 0.000 0.000
Y 0.251 0.159 0.501
Y 0.252 0.674 0.001
Tm 0.500 0.000 0.000

***

Compound: Dy2PtPb
Source: the Alexandria database
Functional: PBE-GGA
Structure: relaxed

## Properties
Magnetic moment (μB per atom): 0.000
Energy of formation from the pure elements (meV/atom): -769

Cell: 3.9557 3.9557 24.7615 Å, 90.00 90.00 120.00°
Space group R-3m (No. 166, hexagonal axes)
Asymmetric unit:
Dy 0.0000 0.0000 0.2328
Pt 0.0000 0.0000 0.5000
Pb 0.0000 0.0000 0.0000

***

Compound: BeAl2GeF
Source: the Alexandria database
Functional: PBE-GGA
Structure: relaxed

## Properties
Magnetic moment (μB per atom): 0.000
E_form (uncorrected) (eV per atom): -0.231

Cell: 5.031 5.031 3.184 Å, 90.00 90.00 90.00°
Space group P4/mmm (No. 123)
Asymmetric unit:
Be 0.000 0.000 0.000
Al 0.000 0.500 0.000
Ge 0.500 0.500 0.500
F 0.000 0.000 0.500

***

Compound: ReC2
Source: the Alexandria database
Functional: PBE-GGA
Structure: relaxed

## Properties
Magnetic moment (μB per atom): 0.000
Distance to the lowest polymorph of the same formula (eV per atom): 0.192
Energy of formation from the pure elements (meV/atom): 632

Cell: 2.796 10.757 3.995 Å, 90.00 90.00 90.00°
Space group Imm2 (No. 44)
Asymmetric unit:
Re 0.000 0.168 0.000
C 0.000 0.358 0.885
C 0.000 0.433 0.185

***

Compound: Sm4Y2Th3
Source: the Alexandria database
Functional: PBE-GGA
Structure: relaxed

## Properties
Magnetic moment (μB per atom): 0.000
Energy of formation from the pure elements (meV/atom): 86

Cell: 3.5854 3.5854 26.8742 Å, 90.00 90.00 120.00°
Space group P3m1 (No. 156)
Asymmetric unit:
Sm 0.0000 0.0000 0.0000
Sm 0.0000 0.0000 0.2174
Sm 0.3333 0.6667 0.3300
Sm 0.3333 0.6667 0.5495
Y 0.0000 0.0000 0.6590
Y 0.0000 0.0000 0.8747
Th 0.0000 0.0000 0.4394
Th 0.3333 0.6667 0.1072
Th 0.3333 0.6667 0.7691

***

Compound: Pm2ZrSn
Source: the Alexandria database
Functional: PBE-GGA
Structure: relaxed

## Properties
Magnetic moment (μB per atom): 0.001
Distance to the lowest polymorph of the same formula (eV per atom): 0.084
Energy of formation from the pure elements (meV/atom): -234

Cell: 4.174 4.174 6.464 Å, 90.00 90.00 90.00°
Space group P4/mmm (No. 123)
Asymmetric unit:
Pm 0.000 0.000 0.242
Zr 0.500 0.500 0.500
Sn 0.500 0.500 0.000

***

Compound: CsKTe4
Source: the Alexandria database
Functional: PBE-GGA
Structure: relaxed

## Properties
Magnetic moment (μB per atom): 0.000
Distance to the lowest polymorph of the same formula (eV per atom): 0.069
E_form (uncorrected) (eV per atom): -0.535

Cell: 4.688 10.265 10.967 Å, 90.00 90.00 90.00°
Space group Immm (No. 71)
Asymmetric unit:
Cs 0.000 0.000 0.000
K 0.000 0.000 0.500
Te 0.000 0.363 0.233

***

Compound: CsNiMo2Se8
Source: the Alexandria database
Functional: PBE-GGA
Structure: relaxed

## Properties
Magnetic moment (μB per atom): 0.000
E_form (uncorrected) (eV per atom): -0.316

Cell: 6.3614 6.3614 30.4287 Å, 90.00 90.00 120.00°
Space group R-3 (No. 148, hexagonal axes)
Asymmetric unit:
Cs 0.0000 0.0000 0.0000
Ni 0.0000 0.0000 0.5000
Mo 0.0000 0.0000 0.2386
Se 0.0000 0.0000 0.3146
Se 0.0112 0.3194 0.5477

***

Compound: NdAl4Pd8
Source: the Alexandria database
Functional: PBE-GGA
Structure: relaxed

## Properties
Magnetic moment (μB per atom): 0.000
Energy of formation from the pure elements (meV/atom): -802

Cell: 8.857 8.857 5.388 Å, 90.00 90.00 90.00°
Space group I4/mmm (No. 139)
Asymmetric unit:
Nd 0.000 0.000 0.000
Al 0.250 0.250 0.250
Pd 0.000 0.224 0.500
Pd 0.000 0.338 0.000

***

Compound: Ce3Pu2Ir4
Source: the Alexandria database
Functional: PBE-GGA
Structure: relaxed

## Properties
Magnetic moment (μB per atom): 1.311
Energy of formation from the pure elements (meV/atom): -542

Cell: 11.489 4.096 9.001 Å, 90.00 97.50 90.00°
Space group C2/m (No. 12)
Asymmetric unit:
Ce 0.000 0.000 0.000
Ce 0.119 0.500 0.383
Pu 0.190 0.500 0.776
Ir 0.057 0.000 0.644
Ir 0.182 0.500 0.082

***

Compound: Rb8Hg2Pb
Source: the Alexandria database
Functional: PBE-GGA
Structure: relaxed

## Properties
Magnetic moment (μB per atom): 0.000
Distance to the lowest polymorph of the same formula (eV per atom): 0.000
Energy of formation from the pure elements (meV/atom): -90

Cell: 6.426 9.010 12.552 Å, 111.02 104.81 90.03°
Space group P1 (No. 1)
Asymmetric unit:
Rb 0.000 0.000 0.000
Rb 0.064 0.543 0.127
Rb 0.257 0.419 0.514
Rb 0.350 0.912 0.702
Rb 0.445 0.607 0.891
Rb 0.639 0.118 0.278
Rb 0.702 0.703 0.405
Rb 0.851 0.230 0.703
Hg 0.196 0.960 0.392
Hg 0.507 0.269 0.013
Pb 0.851 0.648 0.702

***

Compound: BaAl4Pt
Source: the Alexandria database
Functional: PBE-GGA
Structure: relaxed

## Properties
Magnetic moment (μB per atom): 0.000
Energy of formation from the pure elements (meV/atom): 48

Cell: 7.990 7.990 7.990 Å, 90.00 90.00 90.00°
Space group F-43m (No. 216)
Asymmetric unit:
Ba 0.000 0.000 0.000
Al 0.125 0.125 0.375
Pt 0.250 0.250 0.750

***

Compound: LiCr2As
Source: the Alexandria database
Functional: PBE-GGA
Structure: relaxed

## Properties
Magnetic moment (μB per atom): 0.000
Energy of formation from the pure elements (meV/atom): 236

Cell: 2.639 4.222 4.637 Å, 90.00 96.50 90.00°
Space group P2/m (No. 10)
Asymmetric unit:
Li 0.000 0.000 0.000
Cr 0.327 0.500 0.774
As 0.500 0.000 0.500

***

Compound: Tb8SmHg6
Source: the Alexandria database
Functional: PBE-GGA
Structure: relaxed

## Properties
Magnetic moment (μB per atom): 0.119
Energy of formation from the pure elements (meV/atom): -243

Cell: 8.9832 8.9832 19.0723 Å, 90.00 90.00 120.00°
Space group R-3 (No. 148, hexagonal axes)
Asymmetric unit:
Tb 0.0000 0.0000 0.1676
Tb 0.0017 0.3314 0.6138
Sm 0.0000 0.0000 0.5000
Hg 0.0000 0.3379 0.4428

***

Compound: CuSi2Sb
Source: the Alexandria database
Functional: PBE-GGA
Structure: relaxed

## Properties
Magnetic moment (μB per atom): 0.000
E_form (uncorrected) (eV per atom): 0.487

Cell: 3.794 3.794 4.954 Å, 90.00 90.00 90.00°
Space group P4/mmm (No. 123)
Asymmetric unit:
Cu 0.000 0.000 0.000
Si 0.000 0.500 0.500
Sb 0.500 0.500 0.000

***

Compound: AcBi2SbRh2
Source: the Alexandria database
Functional: PBE-GGA
Structure: relaxed

## Properties
Magnetic moment (μB per atom): 0.000
E_form (uncorrected) (eV per atom): -0.257

Cell: 4.996 4.996 6.583 Å, 90.00 90.00 90.00°
Space group P4/mmm (No. 123)
Asymmetric unit:
Ac 0.000 0.000 0.000
Bi 0.500 0.500 0.246
Sb 0.000 0.000 0.500
Rh 0.000 0.500 0.500

***

Compound: PtAu
Source: the Alexandria database
Functional: PBE-GGA
Structure: relaxed

## Properties
Magnetic moment (μB per atom): 0.001
Energy of formation from the pure elements (meV/atom): 1133

Cell: 5.981 5.981 5.981 Å, 90.00 90.00 90.00°
Space group F-43m (No. 216)
Asymmetric unit:
Pt 0.000 0.000 0.000
Au 0.250 0.250 0.250

***

Compound: SrZn2GaNi2
Source: the Alexandria database
Functional: PBE-GGA
Structure: relaxed

## Properties
Magnetic moment (μB per atom): 0.000
Energy of formation from the pure elements (meV/atom): -104

Cell: 4.475 4.475 5.930 Å, 90.00 90.00 90.00°
Space group P4/mmm (No. 123)
Asymmetric unit:
Sr 0.000 0.000 0.000
Zn 0.500 0.500 0.274
Ga 0.000 0.000 0.500
Ni 0.000 0.500 0.500

***

Compound: MgTa2Ni
Source: the Alexandria database
Functional: PBE-GGA
Structure: relaxed

## Properties
Magnetic moment (μB per atom): 0.000
Energy of formation from the pure elements (meV/atom): 248

Cell: 5.614 8.366 2.796 Å, 90.00 90.00 90.00°
Space group Cmmm (No. 65)
Asymmetric unit:
Mg 0.000 0.000 0.000
Ta 0.250 0.250 0.500
Ni 0.000 0.500 0.000

***

Compound: TaIr2
Source: the Alexandria database
Functional: PBE-GGA
Structure: relaxed

## Properties
Magnetic moment (μB per atom): 0.000
Energy of formation from the pure elements (meV/atom): -490

Cell: 4.4662 4.4662 5.5018 Å, 90.00 90.00 120.00°
Space group P6_3/mmc (No. 194)
Asymmetric unit:
Ta 0.3333 0.6667 0.2500
Ir 0.0000 0.0000 0.0000
Ir 0.3333 0.6667 0.7500

***

Compound: SrTm2Mg3
Source: the Alexandria database
Functional: PBE-GGA
Structure: relaxed

## Properties
Magnetic moment (μB per atom): 0.000
Energy of formation from the pure elements (meV/atom): -40

Cell: 3.845 3.845 11.942 Å, 90.00 90.00 90.00°
Space group P4/mmm (No. 123)
Asymmetric unit:
Sr 0.000 0.000 0.000
Tm 0.000 0.000 0.350
Mg 0.500 0.500 0.198
Mg 0.500 0.500 0.500

***

Here are the calculated uncorrected energy numbers, same order: -29.5, -105.3, -312.5, -58.2, -69.0, -66.1, -18.9, -116.0, -53.3, -23.0, -35.5, -179.9, -143.4, -173.6, -13.0, -90.6, -24.9, -141.7, -17.1, -32.2, -28.2, -19.4, -60.2, -62.1, -15.6 (eV per cell).